[1]
This record from the Alexandria database describes a relaxed MoPtCl2 crystal. The functional is PBE-GGA.

The structure belongs to space group I-42d (No. 122); the cell edges are 5.424, 5.424 and 11.592 Å and the angles 90.00°, 90.00° and 90.00°. The inequivalent atoms are Mo at (0.000, 0.000, 0.000), Pt at (0.000, 0.000, 0.500) and Cl at (0.228, 0.250, 0.125).

The energy relative to the lowest polymorph listed for this composition is 1053 meV per atom. Its crystal system is tetragonal. The value obtained for the size of the total moment is 0.00 μB per cell.

***

[2]
This record from the Alexandria database describes a relaxed K3Na2Cd4 crystal. The functional is PBE-GGA.

The structure belongs to space group P-1 (No. 2); the cell edges are 5.382, 7.019 and 10.153 Å and the angles 75.50°, 89.74° and 67.89°. The inequivalent atoms are K at (0.000, 0.000, 0.000), K at (0.387, 0.231, 0.636), Na at (0.300, 0.395, 0.243), Cd at (0.092, 0.829, 0.630) and Cd at (0.256, 0.492, 0.922).

Its crystal system is triclinic. The calculation puts the energy relative to the elements at -0.05 eV/atom. The value obtained for the size of the total moment is 0.00 μB per cell.

***

[3]
This record from the Alexandria database describes a relaxed Tm2MnTc crystal. The functional is PBE-GGA.

The structure belongs to space group P4/mmm (No. 123); the cell edges are 3.492, 3.492 and 6.668 Å and the angles 90.00°, 90.00° and 90.00°. The inequivalent atoms are Tm at (0.000, 0.000, 0.237), Mn at (0.500, 0.500, 0.500) and Tc at (0.500, 0.500, 0.000).

The energy relative to the lowest polymorph listed for this composition is 4 meV per atom. Its crystal system is tetragonal. The calculation puts the energy relative to the elements at 0.06 eV/atom. The value obtained for the size of the total moment is 3.76 μB per cell.

***

[4]
This record from the Alexandria database describes a relaxed Th8FeTc2 crystal. The functional is PBE-GGA.

The structure belongs to space group C2/m (No. 12); the cell edges are 12.904, 6.870 and 7.085 Å and the angles 90.00°, 92.03° and 90.00°. The inequivalent atoms are Th at (0.049, 0.241, 0.248), Th at (0.198, 0.000, 0.883), Th at (0.211, 0.500, 0.600), Fe at (0.000, 0.500, 0.500) and Tc at (0.112, 0.500, 0.936).

Its crystal system is monoclinic. The calculation puts the energy relative to the elements at -0.01 eV/atom. The value obtained for the size of the total moment is 0.00 μB per cell.

***

[5]
This record from the Alexandria database describes a relaxed Ba2ZnC crystal. The functional is PBE-GGA.

The structure belongs to space group I-42d (No. 122); the cell edges are 8.227, 8.227 and 8.305 Å and the angles 90.00°, 90.00° and 90.00°. The inequivalent atoms are Ba at (0.167, 0.250, 0.125), Zn at (0.000, 0.000, 0.500) and C at (0.000, 0.000, 0.000).

The energy relative to the lowest polymorph listed for this composition is 0 meV per atom. Its crystal system is tetragonal. The calculation puts the energy relative to the elements at 0.69 eV/atom. The value obtained for the size of the total moment is 0.00 μB per cell.

***

[6]
This record from the Alexandria database describes a relaxed TiIBr3 crystal. The functional is PBE-GGA.

The structure belongs to space group Pm-3m (No. 221); the cell edges are 5.183, 5.183 and 5.183 Å and the angles 90.00°, 90.00° and 90.00°. The inequivalent atoms are Ti at (0.000, 0.000, 0.000), I at (0.500, 0.500, 0.500) and Br at (0.000, 0.000, 0.500).

The energy relative to the lowest polymorph listed for this composition is 556 meV per atom. Its crystal system is cubic. The value obtained for the size of the total moment is 0.00 μB per cell.

***

[7]
This record from the Alexandria database describes a relaxed ScBeAs2Br crystal. The functional is PBE-GGA.

The structure belongs to space group P4/mmm (No. 123); the cell edges are 4.397, 4.397 and 5.253 Å and the angles 90.00°, 90.00° and 90.00°. The inequivalent atoms are Sc at (0.000, 0.000, 0.000), Be at (0.500, 0.500, 0.500), As at (0.000, 0.500, 0.500) and Br at (0.500, 0.500, 0.000).

The energy relative to the lowest polymorph listed for this composition is 0 meV per atom. Its crystal system is tetragonal. The value obtained for the size of the total moment is 0.00 μB per cell.

***

[8]
This record from the Alexandria database describes a relaxed MnAg3Cl6 crystal. The functional is PBE-GGA.

The structure belongs to space group P2_1/c (No. 14); the cell edges are 6.467, 7.177 and 11.684 Å and the angles 90.00°, 117.80° and 90.00°. The inequivalent atoms are Mn at (0.000, 0.000, 0.000), Ag at (0.325, 0.077, 0.765), Ag at (0.500, 0.000, 0.500), Cl at (0.023, 0.036, 0.202), Cl at (0.308, 0.705, 0.097) and Cl at (0.313, 0.197, 0.063).

The energy relative to the lowest polymorph listed for this composition is 0 meV per atom. Its crystal system is monoclinic. The value obtained for the size of the total moment is 7.97 μB per cell.

***

[9]
This record from the Alexandria database describes a relaxed SrRu2I crystal. The functional is PBE-GGA.

The structure belongs to space group I-42d (No. 122); the cell edges are 7.784, 7.784 and 6.409 Å and the angles 90.00°, 90.00° and 90.00°. The inequivalent atoms are Sr at (0.000, 0.000, 0.000), Ru at (0.173, 0.750, 0.625) and I at (0.000, 0.000, 0.500).

The energy relative to the lowest polymorph listed for this composition is 23 meV per atom. Its crystal system is tetragonal. The value obtained for the size of the total moment is 0.00 μB per cell.

***

[10]
This record from the Alexandria database describes a relaxed BaSrY2 crystal. The functional is PBE-GGA.

The structure belongs to space group R3m (No. 160, hexagonal axes); the cell edges are 3.8839, 3.8839 and 38.3413 Å and the angles 90.00°, 90.00° and 120.00°. The inequivalent atoms are Ba at (0.0000, 0.0000, 0.0000), Sr at (0.0000, 0.0000, 0.2376), Y at (0.0000, 0.0000, 0.4881) and Y at (0.0000, 0.0000, 0.7514).

The energy relative to the lowest polymorph listed for this composition is 33 meV per atom. Its crystal system is trigonal. The calculation puts the energy relative to the elements at 0.17 eV/atom. The value obtained for the size of the total moment is 0.00 μB per cell.

***

[11]
This record from the Alexandria database describes a relaxed HoAg8Hg2 crystal. The functional is PBE-GGA.

The structure belongs to space group C2/m (No. 12); the cell edges are 15.151, 4.399 and 6.770 Å and the angles 90.00°, 107.17° and 90.00°. The inequivalent atoms are Ho at (0.000, 0.000, 0.000), Ag at (0.046, 0.500, 0.725), Ag at (0.090, 0.000, 0.467), Ag at (0.135, 0.500, 0.190), Ag at (0.184, 0.000, 0.912) and Hg at (0.229, 0.500, 0.647).

Its crystal system is monoclinic. The calculation puts the energy relative to the elements at -0.05 eV/atom. The value obtained for the size of the total moment is 0.00 μB per cell.

***

[12]
This record from the Alexandria database describes a relaxed PmSm2 crystal. The functional is PBE-GGA.

The structure belongs to space group I4_1/amd (No. 141, origin choice 2); the cell edges are 3.533, 3.533 and 33.193 Å and the angles 90.00°, 90.00° and 90.00°. The inequivalent atoms are Pm at (0.000, 0.250, 0.375) and Sm at (0.000, 0.250, 0.797).

The energy relative to the lowest polymorph listed for this composition is 132 meV per atom. Its crystal system is tetragonal. The calculation puts the energy relative to the elements at 0.14 eV/atom. The value obtained for the size of the total moment is 0.00 μB per cell.

***

- Look up the size of the total moment of the tenth one.
  0.00 μB per cell